(1)
## ZnNi8Ir2 (PBE)

Data for a relaxed structure of ZnNi8Ir2.

Calculated values
Electronic total energy, eV per atom: -5.97
ΔH_f (0 K), eV per atom: -0.037
Spin magnetization, Bohr magnetons per cell: 5.4

Cell: 12.944 3.636 5.743 Å, 90.00 106.18 90.00°
Space group C2/m (No. 12)
Symmetry-distinct sites (fractional):
Zn1 0.000 0.000 0.000 x2
Ni1 0.045 0.500 0.725 x4
Ni2 0.089 0.000 0.455 x4
Ni3 0.135 0.500 0.180 x4
Ni4 0.182 0.000 0.914 x4
Ir1 0.225 0.500 0.640 x4



(2)
## Zn6NiIr5 (PBE)

Data for a relaxed structure of Zn6NiIr5.

Calculated values
Electronic total energy, eV per atom: -4.95
ΔH_f (0 K), eV per atom: -0.140
Spin magnetization, Bohr magnetons per cell: 0.0

Cell: 4.254 6.079 6.731 Å, 90.00 108.37 90.00°
Space group P2/m (No. 10)
Symmetry-distinct sites (fractional):
Zn1 0.000 0.243 0.000 x2
Zn2 0.336 0.248 0.670 x4
Ni1 0.500 0.000 0.000 x1
Ir1 0.164 0.500 0.330 x2
Ir2 0.166 0.000 0.332 x2
Ir3 0.500 0.500 0.000 x1